Material: SrHg2Os
Method: DFT, SCAN
State: single point on PBEsol structure

The magnetization is 0.3 μB/cell. The formation energy comes out at 325 meV/atom. For the volume, the calculation gives 192.6 Å³/cell. The mass density comes out at 11.7 Mg/m³. Its distance to the lowest polymorph of the same formula is 0.0 meV/atom. The value obtained for the total energy is -57.297 eV/atom.

The structure belongs to space group Cm (No. 8); the cell edges are 14.298, 3.173 and 4.470 Å and the angles 90.00°, 108.21° and 90.00°. The distinct sites, in fractional coordinates, are Sr at (0.000, 0.000, 0.000), Hg at (0.187, 0.000, 0.688), Hg at (0.358, 0.000, 0.358) and Os at (0.190, 0.500, 0.191).